[1]
{
  "formula": "CdNiSe2",
  "functional": "meta-GGA SCAN",
  "state": "single point on PBEsol structure",
  "raw_formation_energy_ev_per_atom": -0.3296,
  "sg": "Cm, No. 8",
  "energy_ev_per_atom": -22.0157,
  "lattice_angstrom": [[-2.236, 2.473, 1.078], [-1.902, -0.093, -3.730], [-1.468, -5.170, 3.119]],
  "species": ["Se", "Se", "Cd", "Ni"],
  "fractional_positions": [[0.929, 0.931, 0.858], [0.705, 0.322, 0.409], [0.549, 0.632, 0.097], [0.318, 0.615, 0.636]]
}

[2]
{
  "formula": "Cd2NiSe",
  "functional": "meta-GGA SCAN",
  "state": "single point on PBEsol structure",
  "raw_formation_energy_ev_per_atom": -0.0348,
  "sg": "C2/m, No. 12",
  "energy_ev_per_atom": -24.3049,
  "lattice_angstrom": [[-0.660, 2.974, 0.347], [-2.435, -0.854, 2.687], [6.253, -0.530, 2.885]],
  "species": ["Cd", "Cd", "Se", "Ni"],
  "fractional_positions": [[0.682, 0.683, 0.364], [0.318, 0.317, 0.636], [0.500, 0.000, 0.000], [0.000, 0.500, 0.000]]
}

[3]
{
  "formula": "Cd2NiSe",
  "functional": "meta-GGA SCAN",
  "state": "single point on PBEsol structure",
  "raw_formation_energy_ev_per_atom": 0.1013,
  "sg": "P4/mmm, No. 123",
  "energy_ev_per_atom": -24.1688,
  "lattice_angstrom": [[-3.096, 1.697, 0.132], [-1.391, -2.364, -2.226], [-1.562, -3.189, 4.362]],
  "species": ["Cd", "Cd", "Ni", "Se"],
  "fractional_positions": [[0.000, 0.000, 0.263], [0.000, 0.000, 0.737], [0.500, 0.500, 0.500], [0.500, 0.500, 0.000]]
}